Entry 1:
The following is a PBE calculation of Cd2AgH after structural relaxation, from Alexandria via LeMat-Bulk.

## Properties
Uncorrected energy   -1.74 eV/atom

a = 6.6904 Å, b = 6.6904 Å, c = 5.6576 Å
α = 53.75°, β = 53.75°, γ = 90.00°
Closest atoms and distances in Å follow each position.
Atoms (fractional coordinates):
H: 0.2500 0.7500 0.5000  4 Cd 2.16
H: 0.5000 0.5000 0.0000  4 Cd 2.16
Cd: 0.2057 0.6250 0.2500  2 H 2.16
Cd: 0.3750 0.4557 0.7500  2 H 2.16
Cd: 0.5443 0.1250 0.2500  2 H 2.16
Cd: 0.8750 0.7943 0.7500  2 H 2.16
Ag: 0.7500 0.2500 0.5000  8 Cd 2.88-3.08, 2 H 3.10
Ag: 0.0000 0.0000 0.0000  8 Cd 2.88-3.08, 2 H 3.10

---

Entry 2:
The following is a PBE calculation of Cd2AgH2 after structural relaxation, from Alexandria via LeMat-Bulk.

## Properties
Uncorrected energy   -2.23 eV/atom

a = 2.9250 Å, b = 2.9250 Å, c = 11.9041 Å
α = 90.37°, β = 90.37°, γ = 60.02°
Closest atoms and distances in Å follow each position.
Atoms (fractional coordinates):
Ag: 0.0000 0.0000 0.0000  6 Ag 2.92-2.93, 6 Cd 3.15-3.16
H: 0.5217 0.5217 0.4697  1 H 0.76
H: 0.4783 0.4783 0.5303  1 H 0.76
Cd: 0.6605 0.6605 0.7763  6 Cd 2.92-2.93, 1 H 3.06, 3 Ag 3.15-3.16
Cd: 0.3395 0.3395 0.2237  6 Cd 2.92-2.93, 1 H 3.06, 3 Ag 3.15-3.16

---

Entry 3:
The following is a PBE calculation of Cd2Ag2H after structural relaxation, from Alexandria via LeMat-Bulk.

## Properties
Uncorrected energy   -1.92 eV/atom

a = 5.8708 Å, b = 5.8708 Å, c = 5.0975 Å
α = 90.00°, β = 90.00°, γ = 90.00°
Closest atoms and distances in Å follow each position.
Atoms (fractional coordinates):
Cd: 0.6721 0.1721 0.0000  2 H 2.17
Cd: 0.1721 0.3279 0.0000  2 H 2.17
Cd: 0.8279 0.6721 0.0000  2 H 2.17
Cd: 0.3279 0.8279 0.0000  2 H 2.17
Ag: 0.6650 0.8350 0.5000  1 Ag 2.74, 2 Cd 2.89
Ag: 0.3350 0.1650 0.5000  1 Ag 2.74, 2 Cd 2.89
Ag: 0.8350 0.3350 0.5000  1 Ag 2.74, 2 Cd 2.89
Ag: 0.1650 0.6650 0.5000  1 Ag 2.74, 2 Cd 2.89
H: 0.0000 0.0000 0.0000  4 Cd 2.17
H: 0.5000 0.5000 0.0000  4 Cd 2.17

---

Entry 4:
The following is a PBE calculation of CdAgH3 after structural relaxation, from Alexandria via LeMat-Bulk.

## Properties
Uncorrected energy   -2.23 eV/atom

a = 3.8233 Å, b = 3.8233 Å, c = 3.8233 Å
α = 90.00°, β = 90.00°, γ = 90.00°
Closest atoms and distances in Å follow each position.
Atoms (fractional coordinates):
Ag: 0.0000 0.0000 0.0000  6 H 1.91
H: 0.0000 0.0000 0.5000  2 Ag 1.91
H: 0.0000 0.5000 0.0000  2 Ag 1.91
H: 0.5000 0.0000 0.0000  2 Ag 1.91
Cd: 0.5000 0.5000 0.5000  12 H 2.70

---

Entry 5:
The following is a PBE calculation of CdAgH after structural relaxation, from Alexandria via LeMat-Bulk.

## Properties
Uncorrected energy   -2.18 eV/atom

a = 3.0119 Å, b = 3.0119 Å, c = 6.0259 Å
α = 90.00°, β = 90.00°, γ = 120.00°
Closest atoms and distances in Å follow each position.
Atoms (fractional coordinates):
H: 0.3333 0.6667 0.5609  3 Ag 1.89
Ag: 0.6667 0.3333 0.4391  3 H 1.89
Cd: 0.0000 0.0000 0.9999  6 Cd 3.01, 3 H 3.17, 3 Ag 3.17

---

Entry 6:
The following is a PBE calculation of Cd2Ag2H after structural relaxation, from Alexandria via LeMat-Bulk.

## Properties
Uncorrected energy   -1.54 eV/atom

a = 3.9540 Å, b = 3.9540 Å, c = 7.4862 Å
α = 74.69°, β = 74.69°, γ = 90.00°
Closest atoms and distances in Å follow each position.
Atoms (fractional coordinates):
H: 0.0000 0.0000 0.0000  8 Ag 3.10
Cd: 0.7500 0.2500 0.5000  4 Cd 2.80, 4 Ag 2.90
Cd: 0.2500 0.7500 0.5000  4 Cd 2.80, 4 Ag 2.90
Ag: 0.5968 0.5968 0.8064  1 Ag 2.69, 4 Cd 2.90
Ag: 0.4032 0.4032 0.1936  1 Ag 2.69, 4 Cd 2.90

---

Entry 7:
The following is a PBE calculation of CdAgH after structural relaxation, from Alexandria via LeMat-Bulk.

## Properties
Uncorrected energy   -2.29 eV/atom

a = 2.9480 Å, b = 2.9480 Å, c = 13.1852 Å
α = 84.24°, β = 84.24°, γ = 89.90°
Closest atoms and distances in Å follow each position.
Atoms (fractional coordinates):
Ag: 0.2149 0.2149 0.0794  8 Ag 2.94-2.95, 4 Cd 3.03-3.04
Ag: 0.7851 0.7851 0.9206  8 Ag 2.94-2.95, 4 Cd 3.03-3.04
Cd: 0.6407 0.6407 0.2479  4 Cd 2.95, 4 Ag 3.03-3.04
Cd: 0.3593 0.3593 0.7521  4 Cd 2.95, 4 Ag 3.03-3.04
H: 0.9804 0.9804 0.5288  1 H 0.75
H: 0.0196 0.0196 0.4712  1 H 0.75

---

Entry 8:
The following is a PBE calculation of Cd2Ag2H after structural relaxation, from Alexandria via LeMat-Bulk.

## Properties
Uncorrected energy   -2.01 eV/atom

a = 5.7112 Å, b = 5.7112 Å, c = 5.3046 Å
α = 90.00°, β = 90.00°, γ = 90.00°
Closest atoms and distances in Å follow each position.
Atoms (fractional coordinates):
Ag: 0.1782 0.3218 0.0000  2 H 2.10
Ag: 0.3218 0.8218 0.0000  2 H 2.10
Ag: 0.6782 0.1782 0.0000  2 H 2.10
Ag: 0.8218 0.6782 0.0000  2 H 2.10
Cd: 0.3265 0.1735 0.5000  5 Cd 2.80-2.99, 2 Ag 2.91
Cd: 0.8265 0.3265 0.5000  5 Cd 2.80-2.99, 2 Ag 2.91
Cd: 0.1735 0.6735 0.5000  5 Cd 2.80-2.99, 2 Ag 2.91
Cd: 0.6735 0.8265 0.5000  5 Cd 2.80-2.99, 2 Ag 2.91
H: 0.5000 0.5000 0.0000  4 Ag 2.10
H: 0.0000 0.0000 0.0000  4 Ag 2.10

---

ΔE to the lowest computed polymorph, record by record: 0; 0; 90; 0; 110; 470; 0; 0 meV per atom